No. 1
First-principles (PBE) data for crystalline ReBr at its relaxed geometry, as listed in the Alexandria database.

Its volume is 92 Å³/cell. The magnetization comes out at 0.00 Bohr magnetons per cell. The value obtained for the formation energy from raw total energies is 1331.4 meV/atom. The value obtained for the final energy is -22.9 eV/cell. The calculation puts the distance to the lowest polymorph of the same formula at 1100 meV/atom.

It has space group P4/nmm (No. 129, origin choice 2), with a = 4.0267 Å, b = 4.0267 Å, c = 5.6551 Å, α = 90.00°, β = 90.00° and γ = 90.00°. The asymmetric unit holds Re at (0.2500, 0.7500, 0.0000) and Br at (0.2500, 0.2500, 0.2674).



No. 2
First-principles (PBE) data for crystalline Ce6Te3As2Se at its relaxed geometry, as listed in the Alexandria database.

Its volume is 700 Å³/cell. The magnetization comes out at 4.17 Bohr magnetons per cell. The value obtained for the formation energy from raw total energies is -1478.0 meV/atom. The value obtained for the final energy is -151.1 eV/cell.

It has space group C2/m (No. 12), with a = 19.0438 Å, b = 4.3113 Å, c = 8.7923 Å, α = 90.00°, β = 104.11° and γ = 90.00°. The asymmetric unit holds Ce at (0.0062, 0.0000, 0.2382), Ce at (0.1620, 0.5000, 0.0981), Ce at (0.1725, 0.5000, 0.5688), Te at (0.0000, 0.5000, 0.5000), Te at (0.1662, 0.0000, 0.8330), As at (0.1665, 0.0000, 0.3326) and Se at (0.0000, 0.5000, 0.0000).



No. 3
First-principles (PBE) data for crystalline Ni2MoC at its relaxed geometry, as listed in the Alexandria database.

Its volume is 90 Å³/cell. The magnetization comes out at 0.00 Bohr magnetons per cell. The value obtained for the final energy is -62.2 eV/cell. For the formation energy, the calculation gives 0.124 eV per atom.

It has space group Imm2 (No. 44), with a = 2.9829 Å, b = 3.7955 Å, c = 7.9224 Å, α = 90.00°, β = 90.00° and γ = 90.00°. The asymmetric unit holds Ni at (0.0000, 0.0000, 0.0000), Ni at (0.0000, 0.0000, 0.3200), Mo at (0.0000, 0.0000, 0.6515) and C at (0.0000, 0.5000, 0.9747).



Question: Look up the final energy of the third one.
Answer: -62.2 eV/cell